This record from OQMD describes a relaxed DyTl3 crystal. The functional is PBE.

Cell lengths 4.7419, 4.7419, 4.7419 Å; angles 90.00, 90.00, 90.00 degrees
Space group Pm-3m (No. 221)
Unique sites:
Dy 0.0000 0.0000 0.0000 x1
Tl 0.0000 0.5000 0.5000 x3

## Properties
total energy	-12.6	eV per cell
total magnetic moment	0.0	μB/f.u.

***

This record from OQMD describes a relaxed DyTl crystal. The functional is PBE.

Cell lengths 6.8776, 6.8776, 6.8776 Å; angles 90.00, 90.00, 90.00 degrees
Space group F-43m (No. 216)
Unique sites:
Dy 0.0000 0.0000 0.0000 x4
Tl 0.2500 0.2500 0.7500 x4

## Properties
total energy	-22.8	eV per cell
total magnetic moment	0.0	μB/f.u.

***

This record from OQMD describes a relaxed DyTl crystal. The functional is PBE.

Cell lengths 3.7689, 3.7689, 3.7689 Å; angles 90.00, 90.00, 90.00 degrees
Space group Pm-3m (No. 221)
Unique sites:
Dy 0.0000 0.0000 0.0000 x1
Tl 0.5000 0.5000 0.5000 x1

## Properties
total energy	-7.6	eV per cell
total magnetic moment	0.0	μB/f.u.

***

This record from OQMD describes a relaxed DyTl crystal. The functional is PBE.

Cell lengths 6.2338, 6.2338, 6.2338 Å; angles 90.00, 90.00, 90.00 degrees
Space group Fm-3m (No. 225)
Unique sites:
Dy 0.0000 0.0000 0.0000 x4
Tl 0.0000 0.0000 0.5000 x4

## Properties
total energy	-28.3	eV per cell
total magnetic moment	0.2	μB/f.u.

***

This record from OQMD describes a relaxed DyTl crystal. The functional is PBE.

Cell lengths 3.6064, 3.6064, 5.0602 Å; angles 90.00, 90.00, 120.00 degrees
Space group P-6m2 (No. 187)
Unique sites:
Dy 0.0000 0.0000 0.0000 x1
Tl 0.6667 0.3333 0.5000 x1

## Properties
total energy	-7.4	eV per cell
total magnetic moment	0.1	μB/f.u.

***

This record from OQMD describes a relaxed DyTmTl4 crystal. The functional is PBE.

Cell lengths 4.6558, 4.6757, 14.5354 Å; angles 90.00, 90.00, 90.00 degrees
Space group Amm2 (No. 38)
Unique sites:
Dy 0.0000 0.0000 0.0000 x2
Tm 0.0000 0.0000 0.3106 x2
Tl 0.0000 0.0000 0.6556 x2
Tl 0.5000 0.0000 0.1556 x2
Tl 0.5000 0.0000 0.4789 x2
Tl 0.5000 0.0000 0.8316 x2

## Properties
total energy	-40.0	eV per cell
total magnetic moment	0.0	μB/f.u.

***

This record from OQMD describes a relaxed DyTlW crystal. The functional is PBE.

Cell lengths 6.7674, 6.7674, 6.7674 Å; angles 90.00, 90.00, 90.00 degrees
Space group F-43m (No. 216)
Unique sites:
Dy 0.0000 0.0000 0.0000 x4
Tl 0.2500 0.2500 0.2500 x4
W 0.0000 0.0000 0.5000 x4

## Properties
total energy	-66.7	eV per cell
total magnetic moment	1.4	μB/f.u.

***

This record from OQMD describes a relaxed DyYTl crystal. The functional is PBE.

Cell lengths 7.3036, 7.3036, 7.3036 Å; angles 90.00, 90.00, 90.00 degrees
Space group F-43m (No. 216)
Unique sites:
Dy 0.0000 0.0000 0.0000 x4
Y 0.0000 0.0000 0.5000 x4
Tl 0.2500 0.2500 0.2500 x4

## Properties
total magnetic moment	0.1	μB/f.u.
relative energy among the computed polymorphs	0	meV per atom

***

This record from OQMD describes a relaxed DyTlZn crystal. The functional is PBE.

Cell lengths 7.3116, 4.6933, 8.1190 Å; angles 90.00, 90.00, 90.00 degrees
Space group Pnma (No. 62)
Unique sites:
Dy 0.9997 0.2500 0.2272 x4
Tl 0.2274 0.2500 0.5855 x4
Zn 0.2003 0.7500 0.4156 x4

## Properties
total energy	-36.5	eV per cell
total magnetic moment	0.1	μB/f.u.

***

This record from OQMD describes a relaxed DyTlZn crystal. The functional is PBE.

Cell lengths 4.7122, 4.7122, 7.2413 Å; angles 90.00, 90.00, 120.00 degrees
Space group P6_3/mmc (No. 194)
Unique sites:
Dy 0.0000 0.0000 0.0000 x2
Tl 0.3333 0.6667 0.2500 x2
Zn 0.3333 0.6667 0.7500 x2

## Properties
total energy	-18.3	eV per cell
total magnetic moment	0.1	μB/f.u.

***

This record from OQMD describes a relaxed Dy5TlZn4 crystal. The functional is PBE.

Cell lengths 3.5847, 3.5847, 18.2853 Å; angles 90.00, 90.00, 90.00 degrees
Space group P4/mmm (No. 123)
Unique sites:
Dy 0.0000 0.0000 0.0000 x1
Dy 0.0000 0.0000 0.1927 x2
Dy 0.0000 0.0000 0.3845 x2
Tl 0.5000 0.5000 0.5000 x1
Zn 0.5000 0.5000 0.0974 x2
Zn 0.5000 0.5000 0.2880 x2

## Properties
total energy	-33.9	eV per cell
total magnetic moment	0.1	μB/f.u.

***

This record from OQMD describes a relaxed DyTlZn crystal. The functional is PBE.

Cell lengths 5.1391, 5.1391, 6.2312 Å; angles 90.00, 90.00, 120.00 degrees
Space group P6_3/mmc (No. 194)
Unique sites:
Dy 0.3333 0.6667 0.2500 x2
Tl 0.3333 0.6667 0.7500 x2
Zn 0.0000 0.0000 0.0000 x2

## Properties
total energy	-17.5	eV per cell
total magnetic moment	0.0	μB/f.u.